Compound: La2NpMnN5
Source: Alexandria via LeMat-Bulk
Functional: GGA-PBE
Structure: optimized geometry Values from VASP.

Geometry as Quantum ESPRESSO input:
```
&SYSTEM
  ibrav = 0, nat = 18, ntyp = 4
/
ATOMIC_SPECIES
La 138.91 La.upf
Np 237.00 Np.upf
Mn 54.94 Mn.upf
N 14.01 N.upf
CELL_PARAMETERS angstrom
1.761 -7.013 0.000
1.761 7.013 0.000
0.000 0.000 10.569
ATOMIC_POSITIONS crystal
La 0.111 0.889 0.500
La 0.134 0.866 0.149
La 0.866 0.134 0.649
La 0.889 0.111 0.000
Np 0.192 0.808 0.843
Np 0.808 0.192 0.343
Mn 0.457 0.543 0.257
Mn 0.543 0.457 0.757
N 0.028 0.972 0.821
N 0.294 0.706 0.472
N 0.324 0.676 0.208
N 0.338 0.662 0.827
N 0.495 0.505 0.602
N 0.505 0.495 0.102
N 0.662 0.338 0.327
N 0.676 0.324 0.708
N 0.706 0.294 0.972
N 0.972 0.028 0.321
```

Values from the calculation:
- Fermi-level density of states: 7.901 states/eV/cell
- Total magnetic moment: 0.360 μB/f.u.
- ΔE_f (raw): -1024 meV/atom